Record 1
Compound: LiBe2Si
Source: Alexandria via LeMat-Bulk
Functional: SCAN
Structure: PBEsol geometry

a = 2.540 Å, b = 2.540 Å, c = 8.084 Å
α = 80.96°, β = 80.96°, γ = 60.00°
Positions (direct):
Be (0.253, 0.253, 0.240)
Be (0.747, 0.747, 0.760)
Si (0.000, 0.000, 0.000)
Li (0.500, 0.500, 0.500)

Properties
Total DFT energy (no corrections) (eV per cell): -19.67
Density (Mg/m³): 1.98
Size of the total moment (Bohr magnetons per cell): 0.12

Record 2
Compound: LiBe2Si
Source: Alexandria via LeMat-Bulk
Functional: SCAN
Structure: PBEsol geometry

a = 2.734 Å, b = 3.811 Å, c = 4.533 Å
α = 90.00°, β = 91.78°, γ = 90.00°
Positions (direct):
Be (0.974, 0.000, 0.742)
Be (0.026, 0.000, 0.258)
Si (0.000, 0.500, 0.000)
Li (0.500, 0.500, 0.500)

Properties
Total DFT energy (no corrections) (eV per cell): -20.36
Density (Mg/m³): 1.87
Size of the total moment (Bohr magnetons per cell): 0.04

Record 3
Compound: Li2BeSi
Source: Alexandria via LeMat-Bulk
Functional: SCAN
Structure: PBEsol geometry

a = 4.064 Å, b = 4.064 Å, c = 4.064 Å
α = 60.00°, β = 60.00°, γ = 60.00°
Positions (direct):
Be (0.000, 0.000, 0.000)
Si (0.500, 0.500, 0.500)
Li (0.250, 0.250, 0.250)
Li (0.750, 0.750, 0.750)

Properties
Total DFT energy (no corrections) (eV per cell): -18.68
Energy above the lowest structure with this stoichiometry (meV/atom): 295.3
Density (Mg/m³): 1.78
Size of the total moment (Bohr magnetons per cell): 0.00

Record 4
Compound: LiTa2BeSi
Source: Alexandria via LeMat-Bulk
Functional: SCAN
Structure: PBEsol geometry

a = 3.874 Å, b = 4.368 Å, c = 4.368 Å
α = 90.00°, β = 90.00°, γ = 90.00°
Positions (direct):
Be (0.000, 0.000, 0.000)
Si (0.500, 0.500, 0.500)
Li (0.500, 0.000, 0.000)
Ta (0.000, 0.000, 0.500)
Ta (0.000, 0.500, 0.000)

Properties
Total DFT energy (no corrections) (eV per cell): -147.01
Density (Mg/m³): 9.12
Size of the total moment (Bohr magnetons per cell): 0.00

Record 5
Compound: LiBeSn3
Source: Alexandria via LeMat-Bulk
Functional: SCAN
Structure: PBEsol geometry

a = 4.886 Å, b = 4.886 Å, c = 4.886 Å
α = 90.00°, β = 90.00°, γ = 90.00°
Positions (direct):
Be (0.500, 0.500, 0.500)
Sn (0.000, 0.500, 0.000)
Sn (0.000, 0.000, 0.500)
Sn (0.500, 0.000, 0.000)
Li (0.000, 0.000, 0.000)

Properties
Total DFT energy (no corrections) (eV per cell): -110.95
Energy above the lowest structure with this stoichiometry (meV/atom): 449.7
Density (Mg/m³): 5.30
Size of the total moment (Bohr magnetons per cell): 0.00
Formation energy (meV/atom): 711.3

Record 6
Compound: LiBe2Sn
Source: Alexandria via LeMat-Bulk
Functional: SCAN
Structure: PBEsol geometry

a = 4.262 Å, b = 4.262 Å, c = 8.812 Å
α = 103.99°, β = 103.99°, γ = 90.00°
Positions (direct):
Be (0.625, 0.875, 0.750)
Be (0.125, 0.875, 0.750)
Be (0.125, 0.875, 0.250)
Be (0.125, 0.375, 0.250)
Sn (0.000, 0.000, 0.000)
Sn (0.250, 0.750, 0.500)
Li (0.500, 0.500, 0.000)
Li (0.750, 0.250, 0.500)

Properties
Total DFT energy (no corrections) (eV per cell): -90.13
Density (Mg/m³): 3.17
Size of the total moment (Bohr magnetons per cell): 0.00
Formation energy (meV/atom): 487.9

Record 7
Compound: LiBeSn3
Source: Alexandria via LeMat-Bulk
Functional: SCAN
Structure: PBEsol geometry

a = 4.925 Å, b = 4.925 Å, c = 4.925 Å
α = 90.00°, β = 90.00°, γ = 90.00°
Positions (direct):
Be (0.000, 0.000, 0.000)
Sn (0.000, 0.500, 0.000)
Sn (0.000, 0.000, 0.500)
Sn (0.500, 0.000, 0.000)
Li (0.500, 0.500, 0.500)

Properties
Total DFT energy (no corrections) (eV per cell): -113.20
Energy above the lowest structure with this stoichiometry (meV/atom): 0.0
Density (Mg/m³): 5.17
Size of the total moment (Bohr magnetons per cell): 0.00
Formation energy (meV/atom): 261.5

Record 8
Compound: LiTa2Be
Source: Alexandria via LeMat-Bulk
Functional: SCAN
Structure: PBEsol geometry

a = 3.149 Å, b = 4.244 Å, c = 4.451 Å
α = 90.00°, β = 90.00°, γ = 90.00°
Positions (direct):
Be (0.500, 0.000, 0.500)
Li (0.000, 0.500, 0.500)
Ta (0.000, 0.000, 0.000)
Ta (0.500, 0.500, 0.000)

Properties
Total DFT energy (no corrections) (eV per cell): -138.25
Density (Mg/m³): 10.55
Size of the total moment (Bohr magnetons per cell): 0.00
Formation energy (meV/atom): 415.0